*a*
A relaxed ScCuSeN2 crystal, computed with PBE.

Cell: 3.8499 3.8499 4.7874 Å, 90.00 90.00 90.00°
Fractional coordinates of all 5 atoms:
1 Sc 0.0000 0.0000 0.0000
2 Cu 0.5000 0.5000 0.5000
3 Se 0.5000 0.5000 0.0000
4 N 0.0000 0.5000 0.5000
5 N 0.5000 0.0000 0.5000

DOS(E_F) in states/eV per atom: 0.65
ρ in g/cm³: 5.0
Spin magnetization in μB/atom: 0.2397
Symmetry: P4/mmm (123)

***

*b*
A relaxed ScCuSeN2 crystal, computed with PBE.

Cell: 4.0971 4.0971 5.4953 Å, 90.00 90.00 90.00°
Fractional coordinates of all 5 atoms:
1 Sc 0.0000 0.0000 0.0000
2 Cu 0.5000 0.5000 0.5000
3 Se 0.0000 0.0000 0.5000
4 N 0.0000 0.5000 0.0000
5 N 0.5000 0.0000 0.0000

DOS(E_F) in states/eV per atom: 0.63
ρ in g/cm³: 3.9
Spin magnetization in μB/atom: 0.5795
Symmetry: P4/mmm (123)

***

Stability summary: most stable *a*, least stable *b*.

***

*a*
A relaxed ScCuTeN2 crystal, computed with PBE.

Cell: 4.1668 4.1668 4.6674 Å, 90.00 90.00 90.00°
Fractional coordinates of all 5 atoms:
1 Sc 0.0000 0.0000 0.0000
2 Cu 0.5000 0.5000 0.0000
3 Te 0.5000 0.5000 0.5000
4 N 0.0000 0.5000 0.5000
5 N 0.5000 0.0000 0.5000

DOS(E_F) in states/eV per atom: 0.48
ρ in g/cm³: 5.4
Spin magnetization in μB/atom: 0.0000
Symmetry: P4/mmm (123)

***

*b*
A relaxed ScCuTeN2 crystal, computed with PBE.

Cell: 4.0085 4.0085 6.2102 Å, 90.00 90.00 90.00°
Fractional coordinates of all 5 atoms:
1 Sc 0.0000 0.0000 0.0000
2 Cu 0.5000 0.5000 0.5000
3 Te 0.0000 0.0000 0.5000
4 N 0.0000 0.5000 0.0000
5 N 0.5000 0.0000 0.0000

DOS(E_F) in states/eV per atom: 0.74
ρ in g/cm³: 4.4
Spin magnetization in μB/atom: 0.0932
Symmetry: P4/mmm (123)

***

Stability summary: most stable *b*, least stable *a*.

***

*a*
A relaxed ScCuTe2N crystal, computed with PBE.

Cell: 5.3430 5.3430 3.6664 Å, 90.00 90.00 90.00°
Fractional coordinates of all 5 atoms:
1 Sc 0.0000 0.0000 0.0000
2 Cu 0.5000 0.5000 0.5000
3 Te 0.0000 0.5000 0.5000
4 Te 0.5000 0.0000 0.5000
5 N 0.5000 0.5000 0.0000

DOS(E_F) in states/eV per atom: 0.59
ρ in g/cm³: 6.0
Spin magnetization in μB/atom: 0.2825
Symmetry: P4/mmm (123)

***

*b*
A relaxed ScCuTe2N crystal, computed with PBE.

Cell: 5.6977 5.6977 3.8542 Å, 90.00 90.00 90.00°
Fractional coordinates of all 5 atoms:
1 Sc 0.0000 0.0000 0.0000
2 Cu 0.5000 0.5000 0.5000
3 Te 0.0000 0.5000 0.0000
4 Te 0.5000 0.0000 0.0000
5 N 0.0000 0.0000 0.5000

DOS(E_F) in states/eV per atom: 0.87
ρ in g/cm³: 5.0
Spin magnetization in μB/atom: 0.0000
Symmetry: P4/mmm (123)

***

Stability summary: most stable *a*, least stable *b*.

***

*a*
A relaxed CuSe3N crystal, computed with PBE.

Cell: 4.8035 4.8035 4.8035 Å, 90.00 90.00 90.00°
Fractional coordinates of all 5 atoms:
1 Cu 0.0000 0.0000 0.0000
2 Se 0.0000 0.0000 0.5000
3 Se 0.0000 0.5000 0.0000
4 Se 0.5000 0.0000 0.0000
5 N 0.5000 0.5000 0.5000

DOS(E_F) in states/eV per atom: 0.94
ρ in g/cm³: 4.7
Spin magnetization in μB/atom: 0.5048
Symmetry: Pm-3m (221)

***

*b*
A relaxed CuSe3N crystal, computed with PBE.

Cell: 4.3725 4.3725 4.3725 Å, 90.00 90.00 90.00°
Fractional coordinates of all 5 atoms:
1 Cu 0.0000 0.0000 0.0000
2 Se 0.0000 0.5000 0.5000
3 Se 0.5000 0.0000 0.5000
4 Se 0.5000 0.5000 0.0000
5 N 0.5000 0.5000 0.5000

DOS(E_F) in states/eV per atom: 0.62
ρ in g/cm³: 6.2
Spin magnetization in μB/atom: 0.0000
Symmetry: Pm-3m (221)

***

Stability summary: most stable *b*, least stable *a*.

***

*a*
A relaxed CuSiSe2N crystal, computed with PBE.

Cell: 5.1188 5.1188 3.2287 Å, 90.00 90.00 90.00°
Fractional coordinates of all 5 atoms:
1 Cu 0.0000 0.0000 0.0000
2 Si 0.5000 0.5000 0.5000
3 Se 0.0000 0.5000 0.5000
4 Se 0.5000 0.0000 0.5000
5 N 0.5000 0.5000 0.0000

DOS(E_F) in states/eV per atom: 0.80
ρ in g/cm³: 5.2
Spin magnetization in μB/atom: 0.0000
Symmetry: P4/mmm (123)

***

*b*
A relaxed CuSiSe2N crystal, computed with PBE.

Cell: 4.9820 4.9820 3.5796 Å, 90.00 90.00 90.00°
Fractional coordinates of all 5 atoms:
1 Cu 0.0000 0.0000 0.0000
2 Si 0.5000 0.5000 0.5000
3 Se 0.0000 0.5000 0.0000
4 Se 0.5000 0.0000 0.0000
5 N 0.0000 0.0000 0.5000

DOS(E_F) in states/eV per atom: 0.77
ρ in g/cm³: 4.9
Spin magnetization in μB/atom: 0.2914
Symmetry: P4/mmm (123)

***

Stability summary: most stable *a*, least stable *b*.

***

*a*
A relaxed CuSiSeN2 crystal, computed with PBE.

Cell: 3.7386 3.7386 5.6133 Å, 90.00 90.00 90.00°
Fractional coordinates of all 5 atoms:
1 Cu 0.0000 0.0000 0.0000
2 Si 0.5000 0.5000 0.5000
3 Se 0.0000 0.0000 0.5000
4 N 0.0000 0.5000 0.0000
5 N 0.5000 0.0000 0.0000

DOS(E_F) in states/eV per atom: 0.48
ρ in g/cm³: 4.2
Spin magnetization in μB/atom: 0.6040
Symmetry: P4/mmm (123)

***

*b*
A relaxed CuSiSeN2 crystal, computed with PBE.

Cell: 3.4232 3.4232 6.4559 Å, 90.00 90.00 90.00°
Fractional coordinates of all 5 atoms:
1 Cu 0.0000 0.0000 0.0000
2 Si 0.5000 0.5000 0.5000
3 Se 0.5000 0.5000 0.0000
4 N 0.0000 0.5000 0.5000
5 N 0.5000 0.0000 0.5000

DOS(E_F) in states/eV per atom: 0.72
ρ in g/cm³: 4.4
Spin magnetization in μB/atom: 0.0000
Symmetry: P4/mmm (123)

***

Stability summary: most stable *b*, least stable *a*.

***

*a*
A relaxed CuSnSeN2 crystal, computed with PBE.

Cell: 4.0123 4.0123 5.1048 Å, 90.00 90.00 90.00°
Fractional coordinates of all 5 atoms:
1 Cu 0.0000 0.0000 0.0000
2 Sn 0.5000 0.5000 0.5000
3 Se 0.0000 0.0000 0.5000
4 N 0.0000 0.5000 0.0000
5 N 0.5000 0.0000 0.0000

DOS(E_F) in states/eV per atom: 0.26
ρ in g/cm³: 5.8
Spin magnetization in μB/atom: 0.6630
Symmetry: P4/mmm (123)

***

*b*
A relaxed CuSnSeN2 crystal, computed with PBE.

Cell: 4.0622 4.0622 5.7247 Å, 90.00 90.00 90.00°
Fractional coordinates of all 5 atoms:
1 Cu 0.0000 0.0000 0.0000
2 Sn 0.5000 0.5000 0.5000
3 Se 0.5000 0.5000 0.0000
4 N 0.0000 0.5000 0.5000
5 N 0.5000 0.0000 0.5000

DOS(E_F) in states/eV per atom: 0.58
ρ in g/cm³: 5.1
Spin magnetization in μB/atom: 0.5687
Symmetry: P4/mmm (123)

***

Stability summary: most stable *a*, least stable *b*.

***

*a*
A relaxed SrCuSeN2 crystal, computed with PBE.

Cell: 4.1136 4.1136 4.8068 Å, 90.00 90.00 90.00°
Fractional coordinates of all 5 atoms:
1 Sr 0.0000 0.0000 0.0000
2 Cu 0.5000 0.5000 0.5000
3 Se 0.5000 0.5000 0.0000
4 N 0.0000 0.5000 0.5000
5 N 0.5000 0.0000 0.5000

DOS(E_F) in states/eV per atom: 0.91
ρ in g/cm³: 5.3
Spin magnetization in μB/atom: 0.0000
Symmetry: P4/mmm (123)

***

*b*
A relaxed SrCuSeN2 crystal, computed with PBE.

Cell: 4.0249 4.0249 6.7141 Å, 90.00 90.00 90.00°
Fractional coordinates of all 5 atoms:
1 Sr 0.0000 0.0000 0.0000
2 Cu 0.0000 0.0000 0.5000
3 Se 0.5000 0.5000 0.0000
4 N 0.0000 0.5000 0.5000
5 N 0.5000 0.0000 0.5000

DOS(E_F) in states/eV per atom: 0.49
ρ in g/cm³: 3.9
Spin magnetization in μB/atom: 0.7879
Symmetry: P4/mmm (123)

***

*c*
A relaxed SrCuSeN2 crystal, computed with PBE.

Cell: 4.6130 4.6130 6.1364 Å, 90.00 90.00 90.00°
Fractional coordinates of all 5 atoms:
1 Sr 0.0000 0.0000 0.0000
2 Cu 0.5000 0.5000 0.5000
3 Se 0.0000 0.0000 0.5000
4 N 0.0000 0.5000 0.0000
5 N 0.5000 0.0000 0.0000

DOS(E_F) in states/eV per atom: 0.52
ρ in g/cm³: 3.3
Spin magnetization in μB/atom: 0.0194
Symmetry: P4/mmm (123)

***

Stability summary: most stable *a*, least stable *c*.

***

*a*
A relaxed SrCuSe2N crystal, computed with PBE.

Cell: 5.7945 5.7945 4.4902 Å, 90.00 90.00 90.00°
Fractional coordinates of all 5 atoms:
1 Sr 0.0000 0.0000 0.0000
2 Cu 0.5000 0.5000 0.5000
3 Se 0.0000 0.5000 0.0000
4 Se 0.5000 0.0000 0.0000
5 N 0.0000 0.0000 0.5000

DOS(E_F) in states/eV per atom: 2.03
ρ in g/cm³: 3.6
Spin magnetization in μB/atom: 0.2493
Symmetry: P4/mmm (123)

***

*b*
A relaxed SrCuSe2N crystal, computed with PBE.

Cell: 5.1873 5.1873 3.7718 Å, 90.00 90.00 90.00°
Fractional coordinates of all 5 atoms:
1 Sr 0.0000 0.0000 0.0000
2 Cu 0.5000 0.5000 0.5000
3 Se 0.0000 0.5000 0.5000
4 Se 0.5000 0.0000 0.5000
5 N 0.5000 0.5000 0.0000

DOS(E_F) in states/eV per atom: 0.69
ρ in g/cm³: 5.3
Spin magnetization in μB/atom: 0.3188
Symmetry: P4/mmm (123)

***

Stability summary: most stable *b*, least stable *a*.

***

*a*
A relaxed CuTeSeN2 crystal, computed with PBE.

Cell: 3.7380 3.7380 6.9202 Å, 90.00 90.00 90.00°
Fractional coordinates of all 5 atoms:
1 Cu 0.0000 0.0000 0.0000
2 Te 0.5000 0.5000 0.0000
3 Se 0.5000 0.5000 0.5000
4 N 0.0000 0.5000 0.5000
5 N 0.5000 0.0000 0.5000

DOS(E_F) in states/eV per atom: 0.49
ρ in g/cm³: 5.1
Spin magnetization in μB/atom: 0.1386
Symmetry: P4/mmm (123)

***

*b*
A relaxed CuTeSeN2 crystal, computed with PBE.

Cell: 3.8710 3.8710 6.0564 Å, 90.00 90.00 90.00°
Fractional coordinates of all 5 atoms:
1 Cu 0.0000 0.0000 0.0000
2 Te 0.5000 0.5000 0.5000
3 Se 0.5000 0.5000 0.0000
4 N 0.0000 0.5000 0.5000
5 N 0.5000 0.0000 0.5000

DOS(E_F) in states/eV per atom: 0.70
ρ in g/cm³: 5.5
Spin magnetization in μB/atom: 0.0478
Symmetry: P4/mmm (123)

***

Stability summary: most stable *b*, least stable *a*.

***

*a*
A relaxed CuTeSeN2 crystal, computed with PBE.

Cell: 3.8888 3.8888 6.3403 Å, 90.00 90.00 90.00°
Fractional coordinates of all 5 atoms:
1 Cu 0.0000 0.0000 0.0000
2 Te 0.0000 0.0000 0.5000
3 Se 0.5000 0.5000 0.5000
4 N 0.0000 0.5000 0.0000
5 N 0.5000 0.0000 0.0000

DOS(E_F) in states/eV per atom: 0.34
ρ in g/cm³: 5.2
Spin magnetization in μB/atom: 0.7539
Symmetry: P4/mmm (123)

***

*b*
A relaxed CuTeSeN2 crystal, computed with PBE.

Cell: 3.9318 3.9318 5.8648 Å, 90.00 90.00 90.00°
Fractional coordinates of all 5 atoms:
1 Cu 0.0000 0.0000 0.0000
2 Te 0.5000 0.5000 0.5000
3 Se 0.0000 0.0000 0.5000
4 N 0.0000 0.5000 0.0000
5 N 0.5000 0.0000 0.0000

DOS(E_F) in states/eV per atom: 0.61
ρ in g/cm³: 5.5
Spin magnetization in μB/atom: 0.7773
Symmetry: P4/mmm (123)

***

Stability summary: most stable *a*, least stable *b*.

***

*a*
A relaxed TlCuSeN2 crystal, computed with PBE.

Cell: 3.9947 3.9947 5.2962 Å, 90.00 90.00 90.00°
Fractional coordinates of all 5 atoms:
1 Tl 0.0000 0.0000 0.0000
2 Cu 0.5000 0.5000 0.5000
3 Se 0.5000 0.5000 0.0000
4 N 0.0000 0.5000 0.5000
5 N 0.5000 0.0000 0.5000

DOS(E_F) in states/eV per atom: 0.48
ρ in g/cm³: 7.4
Spin magnetization in μB/atom: 0.6716
Symmetry: P4/mmm (123)

***

*b*
A relaxed TlCuSeN2 crystal, computed with PBE.

Cell: 4.2210 4.2210 5.9837 Å, 90.00 90.00 90.00°
Fractional coordinates of all 5 atoms:
1 Tl 0.0000 0.0000 0.0000
2 Cu 0.5000 0.5000 0.5000
3 Se 0.0000 0.0000 0.5000
4 N 0.0000 0.5000 0.0000
5 N 0.5000 0.0000 0.0000

DOS(E_F) in states/eV per atom: 0.57
ρ in g/cm³: 5.8
Spin magnetization in μB/atom: 0.6952
Symmetry: P4/mmm (123)

***

Stability summary: most stable *a*, least stable *b*.

***

*a*
A relaxed TlCuSe2N crystal, computed with PBE.

Cell: 5.4963 5.4963 4.2575 Å, 90.00 90.00 90.00°
Fractional coordinates of all 5 atoms:
1 Tl 0.0000 0.0000 0.0000
2 Cu 0.5000 0.5000 0.5000
3 Se 0.0000 0.5000 0.0000
4 Se 0.5000 0.0000 0.0000
5 N 0.0000 0.0000 0.5000

DOS(E_F) in states/eV per atom: 1.02
ρ in g/cm³: 5.7
Spin magnetization in μB/atom: 0.5564
Symmetry: P4/mmm (123)

***

*b*
A relaxed TlCuSe2N crystal, computed with PBE.

Cell: 5.2543 5.2543 3.6012 Å, 90.00 90.00 90.00°
Fractional coordinates of all 5 atoms:
1 Tl 0.0000 0.0000 0.0000
2 Cu 0.5000 0.5000 0.5000
3 Se 0.0000 0.5000 0.5000
4 Se 0.5000 0.0000 0.5000
5 N 0.5000 0.5000 0.0000

DOS(E_F) in states/eV per atom: 0.97
ρ in g/cm³: 7.3
Spin magnetization in μB/atom: 0.2145
Symmetry: P4/mmm (123)

***

Stability summary: most stable *b*, least stable *a*.

***

*a*
A relaxed Cu3SiN crystal, computed with PBE.

Cell: 4.4349 4.4349 4.4349 Å, 90.00 90.00 90.00°
Fractional coordinates of all 5 atoms:
1 Cu 0.0000 0.0000 0.5000
2 Cu 0.0000 0.5000 0.0000
3 Cu 0.5000 0.0000 0.0000
4 Si 0.0000 0.0000 0.0000
5 N 0.5000 0.5000 0.5000

DOS(E_F) in states/eV per atom: 0.63
ρ in g/cm³: 4.4
Spin magnetization in μB/atom: 0.5457
Symmetry: Pm-3m (221)

***

*b*
A relaxed Cu3SiN crystal, computed with PBE.

Cell: 3.9521 3.9521 3.9521 Å, 90.00 90.00 90.00°
Fractional coordinates of all 5 atoms:
1 Cu 0.0000 0.0000 0.5000
2 Cu 0.0000 0.5000 0.0000
3 Cu 0.5000 0.0000 0.0000
4 Si 0.5000 0.5000 0.5000
5 N 0.0000 0.0000 0.0000

DOS(E_F) in states/eV per atom: 0.32
ρ in g/cm³: 6.3
Spin magnetization in μB/atom: 0.0000
Symmetry: Pm-3m (221)

***

Stability summary: most stable *b*, least stable *a*.